(1)
A plane-wave DFT calculation with GGA-PBE was carried out for Tb4Ho4Tl after structural relaxation.

a = 4.8815 Å, b = 7.8829 Å, c = 7.8829 Å
α = 84.50°, β = 71.96°, γ = 71.96°
Fractional positions:
Tb  0.3353  0.6647  0.6647
Tb  0.0000  0.3353  0.6647
Tb  0.6647  0.3353  0.3353
Tb  0.0000  0.6647  0.3353
Tl  0.0000  0.0000  0.0000
Ho  0.3380  0.0000  0.3241
Ho  0.3380  0.3241  0.0000
Ho  0.6620  0.6759  0.0000
Ho  0.6620  0.0000  0.6759

## Properties
ΔH_f (0 K): -0.37 eV/f.u.
Symmetry: I4/mmm (139)

(2)
A plane-wave DFT calculation with GGA-PBE was carried out for Ca2Zn3Ag2 after structural relaxation.

a = 4.5656 Å, b = 5.6711 Å, c = 6.8353 Å
α = 111.11°, β = 90.00°, γ = 113.74°
Fractional positions:
Zn  0.6003  0.2006  0.4223
Zn  0.5000  0.0000  0.0000
Zn  0.3997  0.7994  0.5777
Ag  0.1363  0.2726  0.2252
Ag  0.8637  0.7274  0.7748
Ca  0.1533  0.3066  0.7606
Ca  0.8467  0.6934  0.2394

## Properties
ΔH_f (0 K): -1.85 eV/f.u.
Symmetry: C2/m (12)